# 1
Compound: Ba2Mg12Cd3In
Source: Alexandria via LeMat-Bulk
Functional: PBE
Structure: optimized geometry

Density of states at the Fermi level (states/eV per cell): 12.02
SG: R-3m, No. 166
Crystal system: trigonal
Total DFT energy (no corrections) (eV/atom): -1.518
E_form (eV per formula unit): 1.13

Lattice parameters (Å, degrees): 11.7812 11.7812 11.7812 37.03 37.03 37.03
Last column: nearest neighbours and their distance in Å.
Element x y z (fractional)
Mg 0.6328 0.0771 0.0771  4 Mg 3.01-3.32, 1 In 3.02, 1 Cd 3.15
Mg 0.5858 0.1917 0.5858  2 Cd 2.85, 4 Mg 2.95-3.01
Mg 0.4142 0.8083 0.4142  2 Cd 2.85, 4 Mg 2.95-3.01
Mg 0.1917 0.5858 0.5858  2 Cd 2.85, 4 Mg 2.95-3.01
Mg 0.0771 0.6328 0.0771  4 Mg 3.01-3.32, 1 In 3.02, 1 Cd 3.15
Mg 0.8083 0.4142 0.4142  2 Cd 2.85, 4 Mg 2.95-3.01
Mg 0.0771 0.0771 0.6328  4 Mg 3.01-3.32, 1 In 3.02, 1 Cd 3.15
Mg 0.9229 0.9229 0.3672  4 Mg 3.01-3.32, 1 In 3.02, 1 Cd 3.15
Mg 0.9229 0.3672 0.9229  4 Mg 3.01-3.32, 1 In 3.02, 1 Cd 3.15
Mg 0.5858 0.5858 0.1917  2 Cd 2.85, 4 Mg 2.95-3.01
Mg 0.3672 0.9229 0.9229  4 Mg 3.01-3.32, 1 In 3.02, 1 Cd 3.15
Mg 0.4142 0.4142 0.8083  2 Cd 2.85, 4 Mg 2.95-3.01
Cd 0.5000 0.0000 0.0000  6 Mg 2.85-3.15
Cd 0.0000 0.0000 0.5000  6 Mg 2.85-3.15
Cd 0.0000 0.5000 0.0000  6 Mg 2.85-3.15
Ba 0.6460 0.6460 0.6460  12 Mg 3.72-4.10
Ba 0.3540 0.3540 0.3540  12 Mg 3.72-4.10
In 0.0000 0.0000 0.0000  6 Mg 3.02

---

# 2
Compound: SrMnPt
Source: Alexandria via LeMat-Bulk
Functional: PBE
Structure: optimized geometry

Density of states at the Fermi level (states/eV per cell): 1.18
SG: F-43m, No. 216
Crystal system: cubic
Total DFT energy (no corrections) (eV/atom): -5.711
E_form (eV per formula unit): -0.24

Lattice parameters (Å, degrees): 4.8134 4.8134 4.8134 60.00 60.00 60.00
Last column: nearest neighbours and their distance in Å.
Element x y z (fractional)
Mn 0.5000 0.5000 0.5000  4 Pt 2.95
Pt 0.7500 0.7500 0.7500  4 Sr 2.95, 4 Mn 2.95
Sr 0.0000 0.0000 0.0000  4 Pt 2.95

---

# 3
Compound: ZrPdC2
Source: Alexandria via LeMat-Bulk
Functional: PBE
Structure: optimized geometry

Density of states at the Fermi level (states/eV per cell): 4.22
SG: Fm-3m, No. 225
Crystal system: cubic
Total DFT energy (no corrections) (eV/atom): -7.178
E_form (eV per formula unit): 3.48

Lattice parameters (Å, degrees): 4.0348 4.0348 4.0348 60.00 60.00 60.00
Last column: nearest neighbours and their distance in Å.
Element x y z (fractional)
C 0.7500 0.7500 0.7500  4 Zr 2.47, 4 Pd 2.47
C 0.2500 0.2500 0.2500  4 Zr 2.47, 4 Pd 2.47
Pd 0.5000 0.5000 0.5000  8 C 2.47
Zr 0.0000 0.0000 0.0000  8 C 2.47

---

# 4
Compound: TiAuCl6
Source: Alexandria via LeMat-Bulk
Functional: PBE
Structure: optimized geometry

Density of states at the Fermi level (states/eV per cell): 3.54
SG: P-1, No. 2
Crystal system: triclinic
Raw formation energy (meV per atom): -970.6
Total DFT energy (no corrections) (eV/atom): -3.752

Lattice parameters (Å, degrees): 5.6730 7.4289 7.4057 53.43 69.10 68.47
Last column: nearest neighbours and their distance in Å.
Element x y z (fractional)
Ti 0.0000 0.0000 0.0000  6 Cl 2.25-2.43
Cl 0.8343 0.1568 0.6622  1 Ti 2.43, 1 Au 2.44
Cl 0.8458 0.6557 0.1710  1 Ti 2.43, 1 Au 2.45
Cl 0.1657 0.8432 0.3378  1 Ti 2.43, 1 Au 2.44
Cl 0.3632 0.8404 0.8469  1 Ti 2.25
Cl 0.1542 0.3443 0.8290  1 Ti 2.43, 1 Au 2.45
Cl 0.6368 0.1596 0.1531  1 Ti 2.25
Au 0.5000 0.5000 0.5000  4 Cl 2.44-2.45

---

# 5
Compound: KCuIrW2
Source: Alexandria via LeMat-Bulk
Functional: PBE
Structure: optimized geometry

Density of states at the Fermi level (states/eV per cell): 5.15
SG: P4/mmm, No. 123
Crystal system: tetragonal
Total DFT energy (no corrections) (eV/atom): -4.641
E_form (eV per formula unit): 16.76

Lattice parameters (Å, degrees): 4.4971 4.3682 4.4971 90.00 90.00 90.00
Last column: nearest neighbours and their distance in Å.
Element x y z (fractional)
K 0.0000 0.0000 0.0000  2 Cu 2.18, 4 W 2.25
W 0.0000 0.0000 0.5000  2 K 2.25
W 0.5000 0.0000 0.0000  2 K 2.25
Cu 0.0000 0.5000 0.0000  2 K 2.18
Ir 0.5000 0.5000 0.5000  8 W 3.13, 4 Cu 3.18

---

# 6
Compound: CdAg5Pd4
Source: Alexandria via LeMat-Bulk
Functional: PBE
Structure: optimized geometry

Density of states at the Fermi level (states/eV per cell): 7.76
SG: Pmmn, No. 59
Crystal system: orthorhombic
Total DFT energy (no corrections) (eV/atom): -3.513
E_form (eV per formula unit): 0.81

Lattice parameters (Å, degrees): 4.8761 7.7328 9.7988 90.00 90.00 90.00
Last column: nearest neighbours and their distance in Å.
Element x y z (fractional)
Ag 0.7540 0.3240 0.2407  4 Ag 2.66-2.73, 4 Pd 2.76-2.93
Ag 0.7827 0.5000 0.0000  4 Ag 2.73, 6 Pd 2.76-2.86
Ag 0.2460 0.8240 0.2593  4 Ag 2.66-2.73, 4 Pd 2.76-2.93
Ag 0.2460 0.1760 0.2593  4 Ag 2.66-2.73, 4 Pd 2.76-2.93
Ag 0.7540 0.6760 0.7593  4 Ag 2.66-2.73, 4 Pd 2.76-2.93
Ag 0.7540 0.6760 0.2407  4 Ag 2.66-2.73, 4 Pd 2.76-2.93
Ag 0.2173 0.0000 0.5000  4 Ag 2.73, 6 Pd 2.76-2.86
Ag 0.2460 0.8240 0.7407  4 Ag 2.66-2.73, 4 Pd 2.76-2.93
Ag 0.7540 0.3240 0.7593  4 Ag 2.66-2.73, 4 Pd 2.76-2.93
Ag 0.2460 0.1760 0.7407  4 Ag 2.66-2.73, 4 Pd 2.76-2.93
Cd 0.0378 0.5000 0.5000  4 Pd 2.81-2.87
Cd 0.9622 0.0000 0.0000  4 Pd 2.81-2.87
Pd 0.2703 0.5000 0.1423  8 Ag 2.76-3.02, 3 Pd 2.79-2.95
Pd 0.4693 0.8123 0.0000  5 Ag 2.77-2.93, 2 Cd 2.81-2.87, 3 Pd 2.90-2.95
Pd 0.4693 0.1877 0.0000  5 Ag 2.77-2.93, 2 Cd 2.81-2.87, 3 Pd 2.90-2.95
Pd 0.5307 0.6877 0.5000  5 Ag 2.77-2.93, 2 Cd 2.81-2.87, 3 Pd 2.90-2.95
Pd 0.7297 0.0000 0.6423  8 Ag 2.76-3.02, 3 Pd 2.79-2.95
Pd 0.5307 0.3123 0.5000  5 Ag 2.77-2.93, 2 Cd 2.81-2.87, 3 Pd 2.90-2.95
Pd 0.2703 0.5000 0.8577  8 Ag 2.76-3.02, 3 Pd 2.79-2.95
Pd 0.7297 0.0000 0.3577  8 Ag 2.76-3.02, 3 Pd 2.79-2.95